DFT (PBE) results for an optimized crystal structure of Pm2GaHg.

DFT total energy = -3.711 eV per atom
DFT formation energy = -0.503 eV per atom
total magnetic moment = 0.51 μB/f.u.

Unit cell a=5.3132 b=5.3132 c=5.3132 alpha=60.00 beta=60.00 gamma=60.00
Fractional coordinates of all 4 atoms:
1 Pm 0.2500 0.2500 0.2500
2 Pm 0.7500 0.7500 0.7500
3 Ga 0.0000 0.0000 0.0000
4 Hg 0.5000 0.5000 0.5000

DFT (PBE) results for an optimized crystal structure of CrTeOs2.

DFT total energy = -8.259 eV per atom
total magnetic moment = 1.87 μB/f.u.

Unit cell a=4.6995 b=4.6995 c=4.8957 alpha=99.63 beta=99.63 gamma=36.62
Fractional coordinates of all 4 atoms:
1 Cr 0.0000 0.0000 0.0000
2 Te 0.5000 0.5000 0.5000
3 Os 0.2651 0.2651 0.7817
4 Os 0.7349 0.7349 0.2183

DFT (PBE) results for an optimized crystal structure of AsRh2W.

DFT total energy = -8.157 eV per atom
DFT formation energy = -0.081 eV per atom
total magnetic moment = 0.00 μB/f.u.

Unit cell a=8.7165 b=8.7165 c=8.7165 alpha=18.80 beta=18.80 gamma=18.80
Fractional coordinates of all 4 atoms:
1 As 0.0000 0.0000 0.0000
2 Rh 0.2531 0.2531 0.2531
3 Rh 0.7469 0.7469 0.7469
4 W 0.5000 0.5000 0.5000

DFT (PBE) results for an optimized crystal structure of IBr2Cl.

DFT total energy = -1.273 eV per atom
total magnetic moment = 0.85 μB/f.u.
offset from the most stable computed form = 386 meV/atom

Unit cell a=10.0933 b=10.0933 c=10.0933 alpha=147.24 beta=147.24 gamma=47.01
Fractional coordinates of all 8 atoms:
1 I 0.0000 0.0000 0.0000
2 I 0.7500 0.2500 0.5000
3 Br 0.0463 0.6250 0.9213
4 Br 0.3750 0.2963 0.4213
5 Br 0.7037 0.1250 0.0787
6 Br 0.8750 0.9537 0.5787
7 Cl 0.2500 0.7500 0.5000
8 Cl 0.5000 0.5000 0.0000

DFT (PBE) results for an optimized crystal structure of FeAgW.

DFT total energy = -7.105 eV per atom
DFT formation energy = 0.984 eV per atom
total magnetic moment = 0.94 μB/f.u.
offset from the most stable computed form = 563 meV/atom

Unit cell a=4.1408 b=4.1408 c=4.1408 alpha=60.00 beta=60.00 gamma=60.00
Fractional coordinates of all 3 atoms:
1 Fe 0.0000 0.0000 0.0000
2 Ag 0.7500 0.7500 0.7500
3 W 0.2500 0.2500 0.2500

DFT (PBE) results for an optimized crystal structure of Sr2HoBr.

DFT total energy = -2.763 eV per atom
total magnetic moment = 0.61 μB/f.u.

Unit cell a=12.1326 b=12.1326 c=12.1326 alpha=18.36 beta=18.36 gamma=18.36
Fractional coordinates of all 4 atoms:
1 Sr 0.1007 0.1007 0.1007
2 Sr 0.8993 0.8993 0.8993
3 Ho 0.0000 0.0000 0.0000
4 Br 0.5000 0.5000 0.5000

DFT (PBE) results for an optimized crystal structure of PmSmGdRu.

DFT total energy = -8.062 eV per atom
DFT formation energy = 0.144 eV per atom
total magnetic moment = 7.95 μB/f.u.

Unit cell a=5.2228 b=5.2228 c=5.2228 alpha=60.00 beta=60.00 gamma=60.00
Fractional coordinates of all 4 atoms:
1 Pm 0.0000 0.0000 0.0000
2 Sm 0.5000 0.5000 0.5000
3 Gd 0.7500 0.7500 0.7500
4 Ru 0.2500 0.2500 0.2500

DFT (PBE) results for an optimized crystal structure of BeTeSe.

DFT total energy = -3.360 eV per atom
total magnetic moment = 0.00 μB/f.u.
offset from the most stable computed form = 228 meV/atom

Unit cell a=6.8236 b=6.0879 c=3.9718 alpha=82.54 beta=62.21 gamma=35.25
Fractional coordinates of all 3 atoms:
1 Be 0.0000 0.0000 0.0000
2 Te 0.3458 0.3458 0.6542
3 Se 0.6067 0.6067 0.3933

Which value of DFT total energy does entry 5 give? -7.105 eV per atom

Which of these has the highest total magnetic moment? PmSmGdRu

Look up the total magnetic moment of the seventh one. 7.95 μB/f.u.